ZnFeTcBi | PBE | optimized geometry

Cell and atoms, written as POSCAR:
```
ZnFeTcBi
1.0
-3.316 -2.327 1.946
-3.901 2.018 0.955
-3.696 -1.031 -2.340
Bi Tc Zn Fe
1 1 1 1
Cartesian
0.000 0.000 0.000
-2.728 -0.335 0.140
-5.456 -0.670 0.281
-8.184 -1.005 0.421
```

Properties
The total magnetization is 1.6 μB per formula unit. As for the polymorph energy (0 for the lowest one): 0 meV/atom. The space group is F-43m, No. 216. As for the uncorrected energy: -21.9 eV per cell.